Entry 1:
A relaxed structure of SrSi3Ir2. Source: the Alexandria database, functional PBE-GGA.

Computed properties:
Formation energy without anion corrections   -0.615 eV/atom
Total energy   -6.560 eV/atom

CIF file:
```
data_SrSi3Ir2
_cell_length_a 16.1827
_cell_length_b 4.0397
_cell_length_c 9.6878
_cell_angle_alpha 90.00
_cell_angle_beta 102.94
_cell_angle_gamma 90.00
_space_group_name_H-M_alt 'C 1 2/m 1'
_space_group_IT_number 12
_space_group_name_Hall '-C 2y'
loop_
_atom_site_label
_atom_site_type_symbol
_atom_site_fract_x
_atom_site_fract_y
_atom_site_fract_z
Sr1 Sr 0.0000 0.0000 0.0000
Sr2 Sr 0.1529 0.0000 0.6982
Si1 Si 0.0000 0.5000 0.5000
Si2 Si 0.0461 0.0000 0.3648
Si3 Si 0.1404 0.5000 0.1832
Si4 Si 0.1454 0.5000 0.9317
Si5 Si 0.2215 0.0000 0.3769
Ir1 Ir 0.0079 0.5000 0.7618
Ir2 Ir 0.1467 0.5000 0.4356
Ir3 Ir 0.2082 0.0000 0.0916
```

---

Entry 2:
A relaxed structure of SrSiIr2. Source: the Alexandria database, functional PBE-GGA.

Computed properties:
Formation energy without anion corrections   -0.276 eV/atom
Total energy   -6.483 eV/atom

CIF file:
```
data_SrSiIr2
_cell_length_a 2.9948
_cell_length_b 3.0117
_cell_length_c 7.6626
_cell_angle_alpha 90.00
_cell_angle_beta 90.00
_cell_angle_gamma 90.00
_space_group_name_H-M_alt 'P m m m'
_space_group_IT_number 47
_space_group_name_Hall '-P 2 2'
loop_
_atom_site_label
_atom_site_type_symbol
_atom_site_fract_x
_atom_site_fract_y
_atom_site_fract_z
Sr1 Sr 0.0000 0.0000 0.0000
Si1 Si 0.0000 0.0000 0.5000
Ir1 Ir 0.5000 0.5000 0.3158
```